Crystalline Li3Np3SnS8 at its relaxed geometry. Source: Alexandria, functional PBE-GGA.

Cell lengths 7.5919, 7.5919, 7.5919 Å; angles 63.33, 63.33, 63.33 degrees
With the nearest neighbours (Å) after each atom.
Fractional coordinates of all 15 atoms:
Li1 0.0000 0.5000 0.5000  6 S 2.75-2.80
Li2 0.5000 0.0000 0.5000  6 S 2.75-2.80
Li3 0.5000 0.5000 0.0000  6 S 2.75-2.80
Np1 0.0000 0.0000 0.5000  6 S 2.71-2.76
Np2 0.0000 0.5000 0.0000  6 S 2.71-2.76
Np3 0.5000 0.0000 0.0000  6 S 2.71-2.76
Sn1 0.5000 0.5000 0.5000  6 S 2.77
S1 0.2398 0.7514 0.7514  2 Np 2.71, 1 Sn 2.77, 2 Li 2.80
S2 0.2486 0.2486 0.7602  2 Np 2.71, 1 Sn 2.77, 2 Li 2.80
S3 0.2486 0.7602 0.2486  2 Np 2.71, 1 Sn 2.77, 2 Li 2.80
S4 0.2506 0.2506 0.2506  3 Li 2.75, 3 Np 2.76
S5 0.7494 0.7494 0.7494  3 Li 2.75, 3 Np 2.76
S6 0.7514 0.2398 0.7514  2 Np 2.71, 1 Sn 2.77, 2 Li 2.80
S7 0.7514 0.7514 0.2398  2 Np 2.71, 1 Sn 2.77, 2 Li 2.80
S8 0.7602 0.2486 0.2486  2 Np 2.71, 1 Sn 2.77, 2 Li 2.80

For the raw formation energy, the calculation gives -1.17 eV per atom. The calculation puts the total energy at -99.16 eV/cell. For the volume, the calculation gives 332.2 Å³/f.u. The symmetry is No. 166. The total magnetic moment is 0.681 μB/atom.

---

Crystalline LiNpSnS4 at its relaxed geometry. Source: Alexandria, functional PBE-GGA.

Cell lengths 7.9391, 7.9391, 7.9391 Å; angles 121.38, 119.76, 89.02 degrees
With the nearest neighbours (Å) after each atom.
Fractional coordinates of all 14 atoms:
Li1 0.3792 0.1292 0.2500  4 S 2.57-2.58
Li2 0.6208 0.8708 0.7500  4 S 2.57-2.58
Np1 0.0000 0.5000 0.5000  6 S 2.63-2.69
Np2 0.5000 0.5000 0.0000  6 S 2.63-2.69
Sn1 0.0000 0.0000 0.5000  6 S 2.76-2.77
Sn2 0.0000 0.5000 0.0000  6 S 2.76-2.77
S1 0.2264 0.7322 0.4941  1 Li 2.57, 1 Np 2.63, 2 Sn 2.76
S2 0.2439 0.2606 0.5167  1 Li 2.58, 2 Np 2.69, 1 Sn 2.77
S3 0.2439 0.7273 0.9833  1 Li 2.58, 2 Np 2.69, 1 Sn 2.77
S4 0.2619 0.2678 0.9941  1 Li 2.57, 1 Np 2.63, 2 Sn 2.76
S5 0.7381 0.7322 0.0059  1 Li 2.57, 1 Np 2.63, 2 Sn 2.76
S6 0.7561 0.2727 0.0167  1 Li 2.58, 2 Np 2.69, 1 Sn 2.77
S7 0.7561 0.7394 0.4833  1 Li 2.58, 2 Np 2.69, 1 Sn 2.77
S8 0.7736 0.2678 0.5059  1 Li 2.57, 1 Np 2.63, 2 Sn 2.76

For the raw formation energy, the calculation gives -0.95 eV per atom. The calculation puts the total energy at -84.01 eV/cell. For the volume, the calculation gives 175.3 Å³/f.u. The symmetry is No. 74. The total magnetic moment is 0.399 μB/atom.

---

Crystalline SrLiNpS3 at its relaxed geometry. Source: Alexandria, functional PBE-GGA.

Cell lengths 8.3593, 4.0194, 8.6457 Å; angles 90.00, 102.77, 90.00 degrees
With the nearest neighbours (Å) after each atom.
Fractional coordinates of all 12 atoms:
Sr1 0.1857 0.2500 0.2316  7 S 3.07-3.16, 1 Li 3.35
Sr2 0.8143 0.7500 0.7684  7 S 3.07-3.16, 1 Li 3.35
Li1 0.0854 0.2500 0.5857  4 S 2.38-2.41
Li2 0.9146 0.7500 0.4143  4 S 2.38-2.41
Np1 0.3330 0.7500 0.8365  6 S 2.76-2.78
Np2 0.6670 0.2500 0.1635  6 S 2.76-2.78
S1 0.1112 0.2500 0.8649  1 Li 2.38
S2 0.2080 0.7500 0.5109  3 Li 2.41
S3 0.4385 0.7500 0.1630  3 Np 2.76-2.77, 2 Sr 3.07
S4 0.5615 0.2500 0.8370  3 Np 2.76-2.77, 2 Sr 3.07
S5 0.7920 0.2500 0.4891  3 Li 2.41
S6 0.8888 0.7500 0.1351  1 Li 2.38

For the raw formation energy, the calculation gives -1.58 eV per atom. The calculation puts the total energy at -76.82 eV/cell. For the volume, the calculation gives 141.7 Å³/f.u. The symmetry is No. 11. The total magnetic moment is 0.667 μB/atom.

---

Crystalline Sr3LiNp3S8 at its relaxed geometry. Source: Alexandria, functional PBE-GGA.

Cell lengths 8.2304, 8.2304, 8.2304 Å; angles 58.30, 58.30, 58.30 degrees
With the nearest neighbours (Å) after each atom.
Fractional coordinates of all 15 atoms:
Sr1 0.0000 0.5000 0.5000  6 S 2.95-3.01
Sr2 0.5000 0.0000 0.5000  6 S 2.95-3.01
Sr3 0.5000 0.5000 0.0000  6 S 2.95-3.01
Li1 0.5000 0.5000 0.5000  6 S 2.77
Np1 0.0000 0.0000 0.5000  6 S 2.75-2.80
Np2 0.0000 0.5000 0.0000  6 S 2.75-2.80
Np3 0.5000 0.0000 0.0000  6 S 2.75-2.80
S1 0.2367 0.7414 0.7414  2 Np 2.75, 1 Li 2.77, 2 Sr 3.01
S2 0.2435 0.2435 0.2435  3 Np 2.80, 3 Sr 2.95
S3 0.2586 0.2586 0.7633  2 Np 2.75, 1 Li 2.77, 2 Sr 3.01
S4 0.2586 0.7633 0.2586  2 Np 2.75, 1 Li 2.77, 2 Sr 3.01
S5 0.7414 0.2367 0.7414  2 Np 2.75, 1 Li 2.77, 2 Sr 3.01
S6 0.7414 0.7414 0.2367  2 Np 2.75, 1 Li 2.77, 2 Sr 3.01
S7 0.7565 0.7565 0.7565  3 Np 2.80, 3 Sr 2.95
S8 0.7633 0.2586 0.2586  2 Np 2.75, 1 Li 2.77, 2 Sr 3.01

For the raw formation energy, the calculation gives -1.59 eV per atom. The calculation puts the total energy at -102.65 eV/cell. For the volume, the calculation gives 378.9 Å³/f.u. The symmetry is No. 166. The total magnetic moment is 0.800 μB/atom.

---

Crystalline Li3Np3TaS8 at its relaxed geometry. Source: Alexandria, functional PBE-GGA.

Cell lengths 7.6204, 7.6204, 7.6204 Å; angles 60.24, 60.24, 60.24 degrees
With the nearest neighbours (Å) after each atom.
Fractional coordinates of all 15 atoms:
Li1 0.0000 0.5000 0.5000  6 S 2.67
Li2 0.5000 0.0000 0.5000  6 S 2.67
Li3 0.5000 0.5000 0.0000  6 S 2.67
Np1 0.0000 0.0000 0.5000  6 S 2.73-2.74
Np2 0.0000 0.5000 0.0000  6 S 2.73-2.74
Np3 0.5000 0.0000 0.0000  6 S 2.73-2.74
Ta1 0.5000 0.5000 0.5000  6 S 2.53
S1 0.2530 0.2530 0.2530  3 Li 2.67, 3 Np 2.73
S2 0.2659 0.2659 0.7281  1 Ta 2.53, 2 Li 2.67, 2 Np 2.74
S3 0.2659 0.7281 0.2659  1 Ta 2.53, 2 Li 2.67, 2 Np 2.74
S4 0.2719 0.7341 0.7341  1 Ta 2.53, 2 Li 2.67, 2 Np 2.74
S5 0.7281 0.2659 0.2659  1 Ta 2.53, 2 Li 2.67, 2 Np 2.74
S6 0.7341 0.2719 0.7341  1 Ta 2.53, 2 Li 2.67, 2 Np 2.74
S7 0.7341 0.7341 0.2719  1 Ta 2.53, 2 Li 2.67, 2 Np 2.74
S8 0.7470 0.7470 0.7470  3 Li 2.67, 3 Np 2.73

For the raw formation energy, the calculation gives -1.28 eV per atom. The calculation puts the total energy at -108.70 eV/cell. For the volume, the calculation gives 314.6 Å³/f.u. The symmetry is No. 166. The total magnetic moment is 0.868 μB/atom.

---

Crystalline LiTbNp2S4 at its relaxed geometry. Source: Alexandria, functional PBE-GGA.

Cell lengths 6.7411, 3.9105, 6.7493 Å; angles 90.00, 109.69, 90.00 degrees
With the nearest neighbours (Å) after each atom.
Fractional coordinates of all 8 atoms:
Li1 0.0000 0.0000 0.0000  6 S 2.72-2.73
Tb1 0.0000 0.5000 0.5000  6 S 2.76
Np1 0.5000 0.0000 0.5000  6 S 2.78-2.80
Np2 0.5000 0.5000 0.0000  6 S 2.75-2.76
S1 0.2450 0.5000 0.2446  2 Li 2.73, 3 Np 2.76-2.78, 1 Tb 2.76
S2 0.2475 0.0000 0.7545  1 Li 2.72, 3 Np 2.75-2.80, 2 Tb 2.76
S3 0.7525 0.0000 0.2455  1 Li 2.72, 3 Np 2.75-2.80, 2 Tb 2.76
S4 0.7550 0.5000 0.7554  2 Li 2.73, 3 Np 2.76-2.78, 1 Tb 2.76

For the raw formation energy, the calculation gives -1.54 eV per atom. The calculation puts the total energy at -61.29 eV/cell. For the volume, the calculation gives 167.5 Å³/f.u. The symmetry is No. 10. The total magnetic moment is 1.073 μB/atom.

---

Crystalline Li2Tb2NpS6 at its relaxed geometry. Source: Alexandria, functional PBE-GGA.

Cell lengths 6.8668, 6.8668, 6.5324 Å; angles 99.78, 99.78, 119.89 degrees
With the nearest neighbours (Å) after each atom.
Fractional coordinates of all 11 atoms:
Li1 0.1664 0.8336 0.0000  6 S 2.71-2.81
Li2 0.8336 0.1664 0.0000  6 S 2.71-2.81
Tb1 0.3347 0.6653 0.5000  6 S 2.73-2.78
Tb2 0.6653 0.3347 0.5000  6 S 2.73-2.78
Np1 0.0000 0.0000 0.5000  6 S 2.66-2.72
S1 0.0718 0.4055 0.7436  2 Li 2.71-2.81, 1 Np 2.72, 2 Tb 2.73-2.78
S2 0.2409 0.2409 0.2560  1 Np 2.66, 2 Li 2.75, 2 Tb 2.77
S3 0.4055 0.0718 0.7436  2 Li 2.71-2.81, 1 Np 2.72, 2 Tb 2.73-2.78
S4 0.5945 0.9282 0.2564  2 Li 2.71-2.81, 1 Np 2.72, 2 Tb 2.73-2.78
S5 0.7591 0.7591 0.7440  1 Np 2.66, 2 Li 2.75, 2 Tb 2.77
S6 0.9282 0.5945 0.2564  2 Li 2.71-2.81, 1 Np 2.72, 2 Tb 2.73-2.78

For the raw formation energy, the calculation gives -1.65 eV per atom. The calculation puts the total energy at -68.98 eV/cell. For the volume, the calculation gives 251.2 Å³/f.u. The symmetry is No. 12. The total magnetic moment is 0.273 μB/atom.

---

Crystalline LiTb2NpS6 at its relaxed geometry. Source: Alexandria, functional PBE-GGA.

Cell lengths 7.2388, 7.2388, 7.2388 Å; angles 56.13, 56.13, 56.13 degrees
With the nearest neighbours (Å) after each atom.
Fractional coordinates of all 10 atoms:
Li1 0.0000 0.0000 0.0000  6 S 2.64-2.81
Tb1 0.2890 0.2890 0.2890  6 S 2.73-2.82
Tb2 0.7978 0.7978 0.7978  6 S 2.73-2.78
Np1 0.4884 0.4884 0.4884  6 S 2.61
S1 0.1049 0.3894 0.6976  1 Np 2.61, 1 Li 2.64, 2 Tb 2.73-2.82
S2 0.2201 0.8672 0.6055  1 Np 2.61, 2 Tb 2.73-2.78, 1 Li 2.81
S3 0.3894 0.6976 0.1049  1 Np 2.61, 1 Li 2.64, 2 Tb 2.73-2.82
S4 0.6055 0.2201 0.8672  1 Np 2.61, 2 Tb 2.73-2.78, 1 Li 2.81
S5 0.6976 0.1049 0.3894  1 Np 2.61, 1 Li 2.64, 2 Tb 2.73-2.82
S6 0.8672 0.6055 0.2201  1 Np 2.61, 2 Tb 2.73-2.78, 1 Li 2.81

For the raw formation energy, the calculation gives -1.57 eV per atom. The calculation puts the total energy at -64.59 eV/cell. For the volume, the calculation gives 244.2 Å³/f.u. The symmetry is No. 146. The total magnetic moment is 0.200 μB/atom.

---

> Which formula does entry 2 have?

LiNpSnS4